4
Lattice="0.000 2.915 2.915 2.915 0.000 2.915 2.915 2.915 0.000" Properties=species:S:1:pos:R:3 comment="CoPdF2 (PBE+U, optimized geometry)" e_above_lowest_polymorph_mev_per_atom=578 pbc="T T T"
Co 0.000 0.000 0.000
Pd 2.915 2.915 2.915
F 1.458 1.458 1.458
F 4.373 4.373 4.373